Density functional theory data (GGA-PBE) for a geometry-optimized CrNi3S structure.

The total magnetic moment comes out at 4.1 μB/cell. For the density of states at the Fermi level, the calculation gives 6.26 states/eV/f.u. For the uncorrected formation energy, the calculation gives 0.191 eV/atom. The energy relative to the lowest polymorph listed for this composition is 0 meV per atom.

Lattice parameters (Å, degrees): 4.127 4.127 4.127 90.00 90.00 90.00
Element x y z (fractional)
1 Cr 0.000 0.000 0.000
2 Ni 0.000 0.500 0.500
3 Ni 0.500 0.000 0.500
4 Ni 0.500 0.500 0.000
5 S 0.500 0.500 0.500

---

Density functional theory data (GGA-PBE) for a geometry-optimized SnPd2Pb structure.

The calculation puts the energy of formation from the pure elements at -0.22 eV/atom. The total magnetic moment comes out at 0.0 μB/cell. For the density of states at the Fermi level, the calculation gives 1.88 states/eV/f.u. The energy relative to the lowest polymorph listed for this composition is 169 meV per atom.

Lattice parameters (Å, degrees): 8.673 8.673 8.673 22.41 22.41 22.41
Element x y z (fractional)
1 Sn 0.000 0.000 0.000
2 Pd 0.411 0.411 0.411
3 Pd 0.589 0.589 0.589
4 Pb 0.833 0.833 0.833

---

Density functional theory data (GGA-PBE) for a geometry-optimized OsSe3I structure.

The total magnetic moment comes out at 0.0 μB/cell. For the density of states at the Fermi level, the calculation gives 6.13 states/eV/f.u. For the uncorrected formation energy, the calculation gives 0.538 eV/atom. The energy relative to the lowest polymorph listed for this composition is 436 meV per atom.

Lattice parameters (Å, degrees): 4.949 4.949 4.949 90.00 90.00 90.00
Element x y z (fractional)
1 Os 0.000 0.000 0.000
2 Se 0.000 0.000 0.500
3 Se 0.000 0.500 0.000
4 Se 0.500 0.000 0.000
5 I 0.500 0.500 0.500

---

Density functional theory data (GGA-PBE) for a geometry-optimized HfAg2POs structure.

The calculation puts the energy of formation from the pure elements at 1.81 eV/atom. The total magnetic moment comes out at 0.1 μB/cell. For the density of states at the Fermi level, the calculation gives 3.75 states/eV/f.u.

Lattice parameters (Å, degrees): 5.157 5.157 4.743 90.00 90.00 90.00
Element x y z (fractional)
1 Hf 0.000 0.000 0.000
2 Ag 0.000 0.500 0.000
3 Ag 0.500 0.000 0.000
4 P 0.500 0.500 0.500
5 Os 0.000 0.000 0.500

---

Density functional theory data (GGA-PBE) for a geometry-optimized Cs2BaPdF8 structure.

The total magnetic moment comes out at 0.1 μB/cell. For the uncorrected formation energy, the calculation gives -2.310 eV/atom.

Lattice parameters (Å, degrees): 6.173 6.173 7.335 90.00 90.00 120.00
Element x y z (fractional)
1 Cs 0.333 0.667 0.331
2 Cs 0.667 0.333 0.669
3 Ba 0.000 0.000 0.000
4 Pd 0.000 0.000 0.500
5 F 0.143 0.287 0.671
6 F 0.143 0.857 0.671
7 F 0.287 0.143 0.329
8 F 0.333 0.667 0.966
9 F 0.667 0.333 0.034
10 F 0.713 0.857 0.671
11 F 0.857 0.143 0.329
12 F 0.857 0.713 0.329

---

Density functional theory data (GGA-PBE) for a geometry-optimized W3C2 structure.

The calculation puts the energy of formation from the pure elements at 0.40 eV/atom. The total magnetic moment comes out at 0.0 μB/cell. For the density of states at the Fermi level, the calculation gives 3.17 states/eV/f.u. The energy relative to the lowest polymorph listed for this composition is 309 meV per atom.

Lattice parameters (Å, degrees): 5.610 5.323 6.641 54.59 50.65 74.76
Element x y z (fractional)
1 W 0.000 0.000 0.000
2 W 0.194 0.630 0.716
3 W 0.250 0.250 0.250
4 W 0.534 0.789 0.056
5 W 0.630 0.194 0.461
6 W 0.789 0.534 0.620
7 C 0.225 0.402 0.506
8 C 0.382 0.744 0.848
9 C 0.402 0.225 0.868
10 C 0.744 0.382 0.025

---

Density functional theory data (GGA-PBE) for a geometry-optimized TbYMgGe structure.

The calculation puts the energy of formation from the pure elements at -0.37 eV/atom. The total magnetic moment comes out at 0.0 μB/cell. For the density of states at the Fermi level, the calculation gives 3.55 states/eV/f.u.

Lattice parameters (Å, degrees): 5.147 5.147 5.147 60.00 60.00 60.00
Element x y z (fractional)
1 Tb 0.000 0.000 0.000
2 Y 0.500 0.500 0.500
3 Mg 0.750 0.750 0.750
4 Ge 0.250 0.250 0.250

---

Density functional theory data (GGA-PBE) for a geometry-optimized LaMn2Sb structure.

The total magnetic moment comes out at 6.9 μB/cell. For the density of states at the Fermi level, the calculation gives 4.57 states/eV/f.u. For the uncorrected formation energy, the calculation gives 0.087 eV/atom.

Lattice parameters (Å, degrees): 6.078 6.078 6.078 140.04 139.48 58.22
Element x y z (fractional)
1 La 0.000 0.000 0.000
2 Mn 0.245 0.745 0.500
3 Mn 0.587 0.587 0.000
4 Sb 0.753 0.253 0.500